(1)
A relaxed NdTm2Pb crystal. Source: the Alexandria database, functional PBE-GGA.

Values from the calculation:
DFT total energy = -51.2 eV for the cell shown
energy of formation from the pure elements = 84 meV per atom

```
data_NdTm2Pb
_chemical_formula_sum 'Nd3 Tm6 Pb3'
_cell_length_a 3.4765
_cell_length_b 3.4765
_cell_length_c 36.0222
_cell_angle_alpha 90.00
_cell_angle_beta 90.00
_cell_angle_gamma 120.00
_symmetry_space_group_name_H-M 'R -3 m'
_symmetry_Int_Tables_number 166
_symmetry_space_group_name_Hall '-R 3 2"'
loop_
_atom_site_label
_atom_site_type_symbol
_atom_site_fract_x
_atom_site_fract_y
_atom_site_fract_z
Nd1 Nd 0.0000 0.0000 0.0000
Tm1 Tm 0.0000 0.0000 0.0942
Pb1 Pb 0.0000 0.0000 0.5000
```

=====

(2)
A relaxed Pa2TiNi9 crystal. Source: the Alexandria database, functional PBE-GGA.

Values from the calculation:
DFT total energy = -82.6 eV for the cell shown
energy of formation from the pure elements = -310 meV per atom

```
data_Pa2TiNi9
_chemical_formula_sum 'Pa2 Ti1 Ni9'
_cell_length_a 3.862
_cell_length_b 3.862
_cell_length_c 11.019
_cell_angle_alpha 90.00
_cell_angle_beta 90.00
_cell_angle_gamma 90.00
_symmetry_space_group_name_H-M 'P 4/m m m'
_symmetry_Int_Tables_number 123
_symmetry_space_group_name_Hall '-P 4 2'
loop_
_atom_site_label
_atom_site_type_symbol
_atom_site_fract_x
_atom_site_fract_y
_atom_site_fract_z
Pa1 Pa 0.000 0.000 0.180
Ti1 Ti 0.000 0.000 0.500
Ni1 Ni 0.000 0.500 0.000
Ni2 Ni 0.000 0.500 0.347
Ni3 Ni 0.500 0.500 0.169
Ni4 Ni 0.500 0.500 0.500
```

=====

(3)
A relaxed K3BeH6 crystal. Source: the Alexandria database, functional PBE-GGA.

Values from the calculation:
DFT total energy = -53.4 eV for the cell shown

```
data_K3BeH6
_chemical_formula_sum 'K6 Be2 H12'
_cell_length_a 5.855
_cell_length_b 5.856
_cell_length_c 10.101
_cell_angle_alpha 90.00
_cell_angle_beta 125.42
_cell_angle_gamma 90.00
_symmetry_space_group_name_H-M 'P 1 21/c 1'
_symmetry_Int_Tables_number 14
loop_
_symmetry_equiv_pos_as_xyz
'x,y,z'
'-x,-y,-z'
'-x,y+1/2,-z+1/2'
'x,-y+1/2,z+1/2'
loop_
_atom_site_label
_atom_site_type_symbol
_atom_site_fract_x
_atom_site_fract_y
_atom_site_fract_z
K1 K 0.000 0.000 0.000
K2 K 0.250 0.000 0.750
Be1 Be 0.500 0.000 0.500
H1 H 0.302 0.192 0.502
H2 H 0.304 0.001 0.306
H3 H 0.308 0.700 0.000
```

=====

(4)
A relaxed Ac3Ir2S crystal. Source: the Alexandria database, functional PBE-GGA.

Values from the calculation:
DFT total energy = -162.1 eV for the cell shown

```
data_Ac3Ir2S
_chemical_formula_sum 'Ac12 Ir8 S4'
_cell_length_a 8.710
_cell_length_b 6.135
_cell_length_c 12.966
_cell_angle_alpha 90.00
_cell_angle_beta 90.00
_cell_angle_gamma 90.00
_symmetry_space_group_name_H-M 'P n m a'
_symmetry_Int_Tables_number 62
loop_
_symmetry_equiv_pos_as_xyz
'x,y,z'
'-x,-y,-z'
'-x+1/2,-y,z+1/2'
'x+1/2,y,-z+1/2'
'x+1/2,-y+1/2,-z+1/2'
'-x+1/2,y+1/2,z+1/2'
'-x,y+1/2,-z'
'x,-y+1/2,z'
loop_
_atom_site_label
_atom_site_type_symbol
_atom_site_fract_x
_atom_site_fract_y
_atom_site_fract_z
Ac1 Ac 0.120 0.250 0.085
Ac2 Ac 0.124 0.250 0.748
Ac3 Ac 0.138 0.250 0.412
Ir1 Ir 0.120 0.750 0.741
Ir2 Ir 0.131 0.750 0.082
S1 S 0.121 0.750 0.418
```

=====

(5)
A relaxed Nd3Dy4 crystal. Source: the Alexandria database, functional PBE-GGA.

Values from the calculation:
DFT total energy = -65.1 eV for the cell shown
energy of formation from the pure elements = 20 meV per atom

```
data_Nd3Dy4
_chemical_formula_sum 'Nd6 Dy8'
_cell_length_a 3.604
_cell_length_b 3.604
_cell_length_c 35.664
_cell_angle_alpha 90.00
_cell_angle_beta 90.00
_cell_angle_gamma 90.00
_symmetry_space_group_name_H-M 'I 4/m m m'
_symmetry_Int_Tables_number 139
_symmetry_space_group_name_Hall '-I 4 2'
loop_
_atom_site_label
_atom_site_type_symbol
_atom_site_fract_x
_atom_site_fract_y
_atom_site_fract_z
Nd1 Nd 0.000 0.000 0.000
Nd2 Nd 0.000 0.000 0.287
Dy1 Dy 0.000 0.000 0.141
Dy2 Dy 0.000 0.000 0.428
```

=====

(6)
A relaxed TiRhBr2F crystal. Source: the Alexandria database, functional PBE-GGA.

Values from the calculation:
DFT total energy = -21.3 eV for the cell shown

```
data_TiRhBr2F
_chemical_formula_sum 'Ti1 Rh1 Br2 F1'
_cell_length_a 5.251
_cell_length_b 5.251
_cell_length_c 3.696
_cell_angle_alpha 90.00
_cell_angle_beta 90.00
_cell_angle_gamma 90.00
_symmetry_space_group_name_H-M 'P 4/m m m'
_symmetry_Int_Tables_number 123
_symmetry_space_group_name_Hall '-P 4 2'
loop_
_atom_site_label
_atom_site_type_symbol
_atom_site_fract_x
_atom_site_fract_y
_atom_site_fract_z
Ti1 Ti 0.000 0.000 0.000
Rh1 Rh 0.500 0.500 0.000
Br1 Br 0.000 0.500 0.500
F1 F 0.000 0.000 0.500
```